#a
## Ac4IrPt (GGA-PBE)

Data for an optimized crystal structure of Ac4IrPt.

abc: 7.0385 4.4243 7.6882
angles: 90.00 90.11 90.00
Sites, in units of the cell vectors:
Ac 0.2252 0.0000 0.3399
Ac 0.2257 0.5000 0.8263
Ac 0.7743 0.5000 0.1737
Ac 0.7748 0.0000 0.6601
Ir 0.0000 0.5000 0.5000
Pt 0.0000 0.0000 0.0000

Properties
Crystal system: monoclinic
Fermi-level density of states, states/eV/cell: 4.2



#b
## Ac4IrPt (GGA-PBE)

Data for an optimized crystal structure of Ac4IrPt.

abc: 9.6038 9.6038 7.4987
angles: 105.79 105.79 125.03
Sites, in units of the cell vectors:
Ac 0.0513 0.4288 0.2452
Ac 0.1930 0.2966 0.7444
Ac 0.2966 0.1930 0.2444
Ac 0.4288 0.0513 0.7452
Ac 0.5712 0.9487 0.2548
Ac 0.7034 0.8070 0.7556
Ac 0.8070 0.7034 0.2556
Ac 0.9487 0.5712 0.7548
Ir 0.0741 0.9259 0.7500
Ir 0.9259 0.0741 0.2500
Pt 0.4249 0.5751 0.2500
Pt 0.5751 0.4249 0.7500

Properties
Crystal system: monoclinic
Fermi-level density of states, states/eV/cell: 8.6



So which one wins? Going from most stable to least: #a, #b.



#a
## AcPu3Ir2 (GGA-PBE)

Data for an optimized crystal structure of AcPu3Ir2.

abc: 4.2459 8.9061 7.9943
angles: 90.00 90.00 90.00
Sites, in units of the cell vectors:
Ac 0.0000 0.0895 0.0000
Ac 0.0000 0.9105 0.5000
Pu 0.0000 0.3157 0.6203
Pu 0.0000 0.6843 0.1203
Pu 0.5000 0.1972 0.3316
Pu 0.5000 0.4252 0.9538
Pu 0.5000 0.5748 0.4538
Pu 0.5000 0.8028 0.8316
Ir 0.0000 0.4006 0.2643
Ir 0.0000 0.5994 0.7643
Ir 0.5000 0.1263 0.7043
Ir 0.5000 0.8737 0.2043

Properties
Crystal system: orthorhombic
Fermi-level density of states, states/eV/cell: 52.8



#b
## AcPu3Ir2 (GGA-PBE)

Data for an optimized crystal structure of AcPu3Ir2.

abc: 8.8567 8.8567 8.1954
angles: 113.32 113.32 29.75
Sites, in units of the cell vectors:
Ac 0.1516 0.1516 0.0437
Ac 0.8484 0.8484 0.9563
Pu 0.0514 0.0514 0.3697
Pu 0.3115 0.3115 0.5480
Pu 0.4039 0.4039 0.3751
Pu 0.5961 0.5961 0.6249
Pu 0.6885 0.6885 0.4520
Pu 0.9486 0.9486 0.6303
Ir 0.2076 0.2076 0.7305
Ir 0.4922 0.4922 0.8338
Ir 0.5078 0.5078 0.1662
Ir 0.7924 0.7924 0.2695

Properties
Crystal system: monoclinic
Fermi-level density of states, states/eV/cell: 34.2



So which one wins? Going from most stable to least: #a, #b.



#a
## Ac2IrRh3 (GGA-PBE)

Data for an optimized crystal structure of Ac2IrRh3.

abc: 6.5351 6.5351 6.5351
angles: 138.83 131.14 65.76
Sites, in units of the cell vectors:
Ac 0.1812 0.1812 0.0000
Ac 0.8188 0.8188 0.0000
Ir 0.5000 0.5000 0.0000
Rh 0.0000 0.5000 0.5000
Rh 0.3802 0.8802 0.5000
Rh 0.6198 0.1198 0.5000

Properties
Crystal system: orthorhombic
Fermi-level density of states, states/eV/cell: 6.4



#b
## Ac2IrRh3 (GGA-PBE)

Data for an optimized crystal structure of Ac2IrRh3.

abc: 5.5485 5.5485 5.5485
angles: 60.18 60.18 60.18
Sites, in units of the cell vectors:
Ac 0.1254 0.1254 0.1254
Ac 0.8746 0.8746 0.8746
Ir 0.5000 0.5000 0.5000
Rh 0.0000 0.5000 0.5000
Rh 0.5000 0.0000 0.5000
Rh 0.5000 0.5000 0.0000

Properties
Crystal system: trigonal
Fermi-level density of states, states/eV/cell: 3.8



So which one wins? Going from most stable to least: #b, #a.



#a
## Ac8Ir2Rh (GGA-PBE)

Data for an optimized crystal structure of Ac8Ir2Rh.

abc: 8.0509 8.0509 7.1803
angles: 90.21 90.21 65.40
Sites, in units of the cell vectors:
Ac 0.1209 0.1209 0.3390
Ac 0.1362 0.6107 0.1661
Ac 0.3681 0.3681 0.6695
Ac 0.3893 0.8638 0.8339
Ac 0.6107 0.1362 0.1661
Ac 0.6319 0.6319 0.3305
Ac 0.8638 0.3893 0.8339
Ac 0.8791 0.8791 0.6610
Ir 0.2368 0.2368 0.9905
Ir 0.7632 0.7632 0.0095
Rh 0.0000 0.0000 0.0000

Properties
Crystal system: monoclinic
Fermi-level density of states, states/eV/cell: 10.6



#b
## Ac8Ir2Rh (GGA-PBE)

Data for an optimized crystal structure of Ac8Ir2Rh.

abc: 8.7080 8.7080 6.9932
angles: 103.63 103.63 54.10
Sites, in units of the cell vectors:
Ac 0.0834 0.0834 0.3243
Ac 0.1307 0.6200 0.1367
Ac 0.3387 0.3387 0.6256
Ac 0.3800 0.8693 0.8633
Ac 0.6200 0.1307 0.1367
Ac 0.6613 0.6613 0.3744
Ac 0.8693 0.3800 0.8633
Ac 0.9166 0.9166 0.6757
Ir 0.2379 0.2379 0.1799
Ir 0.7621 0.7621 0.8201
Rh 0.5000 0.5000 0.0000

Properties
Crystal system: monoclinic
Fermi-level density of states, states/eV/cell: 11.9



So which one wins? Going from most stable to least: #a, #b.



#a
## Ac3IrRh (GGA-PBE)

Data for an optimized crystal structure of Ac3IrRh.

abc: 7.4070 7.4070 9.5565
angles: 108.36 108.36 46.73
Sites, in units of the cell vectors:
Ac 0.0993 0.0993 0.2086
Ac 0.1691 0.1691 0.6294
Ac 0.3697 0.3697 0.0573
Ac 0.6303 0.6303 0.9427
Ac 0.8309 0.8309 0.3706
Ac 0.9007 0.9007 0.7914
Ir 0.1309 0.1309 0.9112
Ir 0.8691 0.8691 0.0888
Rh 0.3819 0.3819 0.7198
Rh 0.6181 0.6181 0.2802

Properties
Crystal system: monoclinic
Fermi-level density of states, states/eV/cell: 6.2



#b
## Ac3IrRh (GGA-PBE)

Data for an optimized crystal structure of Ac3IrRh.

abc: 11.4575 11.4575 6.6553
angles: 90.00 90.00 157.43
Sites, in units of the cell vectors:
Ac 0.0560 0.9440 0.5000
Ac 0.2769 0.7231 0.0136
Ac 0.3886 0.6114 0.4774
Ac 0.6114 0.3886 0.9774
Ac 0.7231 0.2769 0.5136
Ac 0.9440 0.0560 0.0000
Ir 0.1714 0.8286 0.7474
Ir 0.8286 0.1714 0.2474
Rh 0.4975 0.5025 0.7423
Rh 0.5025 0.4975 0.2423

Properties
Crystal system: orthorhombic
Fermi-level density of states, states/eV/cell: 4.5



So which one wins? Going from most stable to least: #b, #a.



#a
## Ac6IrRu2 (GGA-PBE)

Data for an optimized crystal structure of Ac6IrRu2.

abc: 9.3485 9.3485 8.2928
angles: 98.33 98.33 27.08
Sites, in units of the cell vectors:
Ac 0.0043 0.0043 0.2442
Ac 0.3298 0.3298 0.4249
Ac 0.3349 0.3349 0.9054
Ac 0.6651 0.6651 0.0946
Ac 0.6702 0.6702 0.5751
Ac 0.9957 0.9957 0.7558
Ir 0.5000 0.5000 0.0000
Ru 0.1656 0.1656 0.3322
Ru 0.8344 0.8344 0.6678

Properties
Crystal system: monoclinic
Fermi-level density of states, states/eV/cell: 5.3



#b
## Ac6IrRu2 (GGA-PBE)

Data for an optimized crystal structure of Ac6IrRu2.

abc: 9.1409 9.1409 8.0852
angles: 95.33 95.33 73.84
Sites, in units of the cell vectors:
Ac 0.0224 0.6318 0.3507
Ac 0.0273 0.7781 0.9078
Ac 0.2219 0.9727 0.5922
Ac 0.3561 0.3990 0.1077
Ac 0.3682 0.9776 0.1493
Ac 0.3990 0.3561 0.6077
Ac 0.6010 0.6439 0.3923
Ac 0.6318 0.0224 0.8507
Ac 0.6439 0.6010 0.8923
Ac 0.7781 0.0273 0.4078
Ac 0.9727 0.2219 0.0922
Ac 0.9776 0.3682 0.6493
Ir 0.0882 0.9118 0.2500
Ir 0.9118 0.0882 0.7500
Ru 0.1923 0.2912 0.3586
Ru 0.2912 0.1923 0.8586
Ru 0.7088 0.8077 0.1414
Ru 0.8077 0.7088 0.6414

Properties
Crystal system: monoclinic
Fermi-level density of states, states/eV/cell: 12.6



So which one wins? Going from most stable to least: #a, #b.



#a
## Ac8Ir2Ru (GGA-PBE)

Data for an optimized crystal structure of Ac8Ir2Ru.

abc: 8.0294 8.0294 7.1860
angles: 90.27 90.27 65.15
Sites, in units of the cell vectors:
Ac 0.1192 0.1192 0.3352
Ac 0.1358 0.6145 0.1657
Ac 0.3673 0.3673 0.6692
Ac 0.3855 0.8642 0.8343
Ac 0.6145 0.1358 0.1657
Ac 0.6327 0.6327 0.3308
Ac 0.8642 0.3855 0.8343
Ac 0.8808 0.8808 0.6648
Ir 0.2376 0.2376 0.9896
Ir 0.7624 0.7624 0.0104
Ru 0.0000 0.0000 0.0000

Properties
Crystal system: monoclinic
Fermi-level density of states, states/eV/cell: 9.4



#b
## Ac8Ir2Ru (GGA-PBE)

Data for an optimized crystal structure of Ac8Ir2Ru.

abc: 8.6665 8.6665 7.1392
angles: 104.60 104.60 55.29
Sites, in units of the cell vectors:
Ac 0.1043 0.1043 0.3846
Ac 0.1307 0.6272 0.0997
Ac 0.3728 0.8693 0.9003
Ac 0.3760 0.3760 0.5947
Ac 0.6240 0.6240 0.4053
Ac 0.6272 0.1307 0.0997
Ac 0.8693 0.3728 0.9003
Ac 0.8957 0.8957 0.6154
Ir 0.2447 0.2447 0.1926
Ir 0.7553 0.7553 0.8074
Ru 0.5000 0.5000 0.0000

Properties
Crystal system: monoclinic
Fermi-level density of states, states/eV/cell: 9.5



So which one wins? Going from most stable to least: #a, #b.



#a
## AcIrS (GGA-PBE)

Data for an optimized crystal structure of AcIrS.

abc: 5.7341 5.7341 5.7341
angles: 143.35 143.35 52.80
Sites, in units of the cell vectors:
Ac 0.0000 0.0000 0.0000
Ir 0.7056 0.7056 0.0000
S 0.2752 0.2752 0.0000

Properties
Crystal system: tetragonal
Fermi-level density of states, states/eV/cell: 3.1



#b
## AcIrS (GGA-PBE)

Data for an optimized crystal structure of AcIrS.

abc: 6.0199 6.0578 7.8687
angles: 90.00 102.80 90.00
Sites, in units of the cell vectors:
Ac 0.2448 0.1250 0.2682
Ac 0.2448 0.3750 0.7682
Ac 0.7552 0.6250 0.2318
Ac 0.7552 0.8750 0.7318
Ir 0.3139 0.6480 0.4434
Ir 0.3139 0.8520 0.9434
Ir 0.6861 0.1480 0.0566
Ir 0.6861 0.3520 0.5566
S 0.2368 0.6004 0.1429
S 0.2368 0.8996 0.6429
S 0.7632 0.1004 0.3571
S 0.7632 0.3996 0.8571

Properties
Crystal system: monoclinic
Fermi-level density of states, states/eV/cell: 6.2



#c
## AcIrS (GGA-PBE)

Data for an optimized crystal structure of AcIrS.

abc: 4.3176 4.3176 4.0675
angles: 90.00 90.00 120.00
Sites, in units of the cell vectors:
Ac 0.0000 0.0000 0.0000
Ir 0.6667 0.3333 0.5051
S 0.3333 0.6667 0.4960

Properties
Crystal system: trigonal
Fermi-level density of states, states/eV/cell: 0.8



So which one wins? Going from most stable to least: #b, #c, #a.